Here is a relaxed CaTbGa2Au2 crystal from the Alexandria database. Energies are from PBE.

Computed properties:
The energy relative to the elements is -0.7491 eV per atom. The density of states at the Fermi level is 3.447 states/eV/cell.

The structure in extended XYZ format:
```
6
Lattice="4.590 0.000 0.000 -2.295 3.975 0.000 0.000 0.000 7.165" Properties=species:S:1:pos:R:3 pbc="T T T"
Ca 0.000 0.000 0.000
Tb 0.000 0.000 3.583
Ga 0.000 2.650 5.230
Ga 2.295 1.325 1.935
Au 0.000 2.650 1.953
Au 2.295 1.325 5.212
```

***

Here is a relaxed CaGaTcAu2 crystal from the Alexandria database. Energies are from PBE.

Computed properties:
The energy relative to the elements is 1.2763 eV per atom. The density of states at the Fermi level is 4.832 states/eV/cell.

The structure in extended XYZ format:
```
5
Lattice="5.357 0.000 0.000 0.000 5.357 0.000 0.000 0.000 5.351" Properties=species:S:1:pos:R:3 pbc="T T T"
Ca 0.000 0.000 0.000
Ga 2.679 2.679 2.675
Tc 0.000 0.000 2.675
Au 0.000 2.679 0.000
Au 2.679 0.000 0.000
```

***

Here is a relaxed Ca2TlGa3Au4 crystal from the Alexandria database. Energies are from PBE.

Computed properties:
The energy relative to the elements is -0.4811 eV per atom. The density of states at the Fermi level is 3.811 states/eV/cell.

The structure in extended XYZ format:
```
10
Lattice="4.473 0.000 0.000 0.000 4.473 0.000 0.000 0.000 11.172" Properties=species:S:1:pos:R:3 pbc="T T T"
Ca 0.000 2.236 2.633
Ca 2.236 0.000 8.540
Tl 0.000 0.000 5.586
Ga 0.000 2.236 9.831
Ga 2.236 0.000 1.342
Ga 2.236 2.236 5.586
Au 0.000 0.000 0.000
Au 0.000 2.236 7.334
Au 2.236 0.000 3.839
Au 2.236 2.236 0.000
```

***

Here is a relaxed Ca2TlGaAu crystal from the Alexandria database. Energies are from PBE.

Computed properties:
The energy relative to the elements is -0.3336 eV per atom. The density of states at the Fermi level is 3.286 states/eV/cell.

The structure in extended XYZ format:
```
5
Lattice="5.721 0.000 0.000 0.000 5.721 0.000 0.000 0.000 4.819" Properties=species:S:1:pos:R:3 pbc="T T T"
Ca 0.000 2.860 0.000
Ca 2.860 0.000 0.000
Tl 0.000 0.000 2.409
Ga 2.860 2.860 2.409
Au 2.860 2.860 0.000
```

***

Among the records above, which one has the highest energy relative to the elements?
CaGaTcAu2